# 1
First-principles (PBE-GGA) data for Nd8As2N3 after structural relaxation, as listed in Alexandria.

Output
E: -6.556 eV/atom
E_form (uncorrected): -0.99 eV/atom
size of the total moment: 0.001 μB/f.u.

Cell: 6.5559 7.4058 8.0677 Å, 117.32 104.66 90.00°
Last column: nearest neighbours and their distance in Å.
Atoms (fractional coordinates):
1 Nd 0.9217 0.5989 0.1977  2 N 2.54
2 Nd 0.0783 0.4011 0.8023  2 N 2.54
3 Nd 0.8960 0.0992 0.1983  3 N 2.48-2.58
4 Nd 0.1040 0.9008 0.8017  3 N 2.48-2.58
5 Nd 0.6089 0.6575 0.7968  2 N 2.53-2.56
6 Nd 0.6089 0.1393 0.7968  2 N 2.53-2.56
7 Nd 0.3911 0.8607 0.2032  2 N 2.53-2.56
8 Nd 0.3911 0.3425 0.2032  2 N 2.53-2.56
9 As 0.3197 0.2554 0.5109  6 Nd 2.96-3.04
10 As 0.6803 0.7446 0.4891  6 Nd 2.96-3.04
11 N 0.5000 0.0000 0.0000  6 Nd 2.53-2.58
12 N 0.0000 0.2377 0.0000  6 Nd 2.48-2.56
13 N 0.0000 0.7623 0.0000  6 Nd 2.48-2.56

# 2
First-principles (PBE-GGA) data for Nd4As2N after structural relaxation, as listed in Alexandria.

Output
E: -6.294 eV/atom
E_form (uncorrected): -1.05 eV/atom
size of the total moment: 1.107 μB/f.u.

Cell: 3.9860 7.0944 7.7047 Å, 117.77 104.99 90.00°
Last column: nearest neighbours and their distance in Å.
Atoms (fractional coordinates):
1 Nd 0.8868 0.1812 0.7736  1 N 2.57
2 Nd 0.1132 0.8188 0.2264  1 N 2.57
3 Nd 0.6154 0.2524 0.2308  2 N 2.68, 3 As 2.95-3.00
4 Nd 0.3846 0.7476 0.7692  2 N 2.68, 3 As 2.95-3.00
5 As 0.7299 0.7268 0.4598  6 Nd 2.92-3.00
6 As 0.2701 0.2732 0.5402  6 Nd 2.92-3.00
7 N 0.0000 0.0000 0.0000  6 Nd 2.57-2.68

# 3
First-principles (PBE-GGA) data for Nd4As2N after structural relaxation, as listed in Alexandria.

Output
E: -6.306 eV/atom
E_form (uncorrected): -1.06 eV/atom
size of the total moment: 0.001 μB/f.u.

Cell: 4.7559 4.7559 8.5850 Å, 73.92 73.92 90.00°
Last column: nearest neighbours and their distance in Å.
Atoms (fractional coordinates):
1 As 0.6377 0.6377 0.7246  5 Nd 3.03-3.22
2 As 0.3623 0.3623 0.2754  5 Nd 3.03-3.22
3 Nd 0.8296 0.8296 0.3409  1 N 2.69
4 Nd 0.1704 0.1704 0.6591  1 N 2.69
5 Nd 0.0000 0.5000 0.0000  2 N 2.38
6 Nd 0.5000 0.0000 0.0000  2 N 2.38
7 N 0.0000 0.0000 0.0000  4 Nd 2.38

# 4
First-principles (PBE-GGA) data for Nd5As4N after structural relaxation, as listed in Alexandria.

Output
E: -6.450 eV/atom
E_form (uncorrected): -1.37 eV/atom
size of the total moment: 0.000 μB/f.u.

Cell: 6.0166 7.2076 7.2076 Å, 79.97 65.33 65.33°
Last column: nearest neighbours and their distance in Å.
Atoms (fractional coordinates):
1 Nd 0.9056 0.3717 0.8155  1 N 2.74, 4 As 2.95-3.04
2 Nd 0.2773 0.8155 0.6283  1 N 2.74, 4 As 2.95-3.04
3 Nd 0.7211 0.1845 0.3717  1 N 2.74, 4 As 2.95-3.04
4 Nd 0.0928 0.6283 0.1845  1 N 2.74, 4 As 2.95-3.04
5 Nd 0.4441 0.0000 0.0000  1 N 2.34
6 As 0.4092 0.3961 0.7922  6 Nd 2.95-3.08
7 As 0.8053 0.7922 0.6039  6 Nd 2.95-3.08
8 As 0.2014 0.2078 0.3961  6 Nd 2.95-3.08
9 As 0.5975 0.6039 0.2078  6 Nd 2.95-3.08
10 N 0.0559 0.0000 0.0000  1 Nd 2.34

# 5
First-principles (PBE-GGA) data for Nd2AsN after structural relaxation, as listed in Alexandria.

Output
E: -6.633 eV/atom
E_form (uncorrected): -1.01 eV/atom
size of the total moment: 0.000 μB/f.u.

Cell: 3.8383 3.8383 7.3064 Å, 74.77 74.77 60.00°
Last column: nearest neighbours and their distance in Å.
Atoms (fractional coordinates):
1 Nd 0.0943 0.0943 0.7170  3 N 2.63
2 Nd 0.2430 0.2430 0.2710  3 N 2.78, 3 As 2.91, 1 Nd 3.11
3 As 0.6667 0.6667 0.9998  6 Nd 2.91-2.96
4 N 0.4959 0.4959 0.5122  6 Nd 2.63-2.78

# 6
First-principles (PBE-GGA) data for Nd2AsN after structural relaxation, as listed in Alexandria.

Output
E: -6.899 eV/atom
E_form (uncorrected): -1.27 eV/atom
size of the total moment: 0.000 μB/f.u.

Cell: 3.9045 3.9045 7.0156 Å, 73.84 73.84 60.00°
Last column: nearest neighbours and their distance in Å.
Atoms (fractional coordinates):
1 As 0.5000 0.5000 0.5000  6 Nd 2.95
2 Nd 0.7377 0.7377 0.7868  3 N 2.66, 3 As 2.95
3 Nd 0.2623 0.2623 0.2132  3 N 2.66, 3 As 2.95
4 N 0.0000 0.0000 0.0000  6 Nd 2.66

# 7
First-principles (PBE-GGA) data for NdNiAsN after structural relaxation, as listed in Alexandria.

Output
E: -6.699 eV/atom
E_form (uncorrected): -0.82 eV/atom
size of the total moment: 0.000 μB/f.u.

Cell: 3.8490 3.8490 8.4483 Å, 90.00 90.00 90.00°
Last column: nearest neighbours and their distance in Å.
Atoms (fractional coordinates):
1 Nd 0.0000 0.5000 0.8416  1 N 2.37
2 Nd 0.5000 0.0000 0.1584  1 N 2.37
3 Ni 0.0000 0.0000 0.5000  4 As 2.31
4 Ni 0.5000 0.5000 0.5000  4 As 2.31
5 As 0.0000 0.5000 0.3487  1 N 1.91
6 As 0.5000 0.0000 0.6513  1 N 1.91
7 N 0.5000 0.0000 0.8777  1 As 1.91
8 N 0.0000 0.5000 0.1223  1 As 1.91

# 8
First-principles (PBE-GGA) data for Nd2NpAsN5 after structural relaxation, as listed in Alexandria.

Output
E: -8.409 eV/atom
E_form (uncorrected): -0.77 eV/atom
size of the total moment: 2.106 μB/f.u.

Cell: 3.5548 7.3226 10.4394 Å, 90.00 90.00 104.05°
Last column: nearest neighbours and their distance in Å.
Atoms (fractional coordinates):
1 Nd 0.8656 0.7311 0.8232  7 N 2.56-2.75
2 Nd 0.1109 0.2217 0.6826  6 N 2.53-2.68
3 Nd 0.1344 0.2689 0.3232  7 N 2.56-2.75
4 Nd 0.8891 0.7783 0.1826  6 N 2.53-2.68
5 Np 0.7980 0.5960 0.5260  3 N 2.05-2.26
6 Np 0.2020 0.4040 0.0260  3 N 2.05-2.26
7 As 0.5432 0.0865 0.9401  4 N 1.82-2.00
8 As 0.4568 0.9135 0.4401  4 N 1.82-2.00
9 N 0.3456 0.6912 0.0079  1 Np 2.05
10 N 0.6771 0.3541 0.8822  1 As 2.00
11 N 0.4919 0.9838 0.7808  1 As 1.82
12 N 0.2883 0.5766 0.6598  2 Np 2.26, 1 Nd 2.53
13 N 0.9640 0.9280 0.5214  2 As 1.97
14 N 0.6544 0.3088 0.5079  1 Np 2.05
15 N 0.3229 0.6459 0.3822  1 As 2.00
16 N 0.5081 0.0162 0.2808  1 As 1.82
17 N 0.7117 0.4234 0.1598  2 Np 2.26, 1 Nd 2.53
18 N 0.0360 0.0720 0.0214  2 As 1.97

# 9
First-principles (PBE-GGA) data for Nd3AsPN after structural relaxation, as listed in Alexandria.

Output
E: -6.757 eV/atom
E_form (uncorrected): -1.31 eV/atom
size of the total moment: 0.000 μB/f.u.

Cell: 4.1581 8.5642 9.3331 Å, 99.74 90.00 90.00°
Last column: nearest neighbours and their distance in Å.
Atoms (fractional coordinates):
1 Nd 0.2500 0.8327 0.4914  3 N 2.28-2.37
2 Nd 0.7500 0.8952 0.1599  1 N 2.25
3 Nd 0.7500 0.4069 0.1483  3 P 2.81-2.93, 2 As 2.99
4 Nd 0.7500 0.1673 0.5086  3 N 2.28-2.37
5 Nd 0.2500 0.5931 0.8517  3 P 2.81-2.93, 2 As 2.99
6 Nd 0.2500 0.1048 0.8401  1 N 2.25
7 As 0.7500 0.8257 0.7943  4 Nd 2.99-3.14
8 As 0.2500 0.1743 0.2057  4 Nd 2.99-3.14
9 P 0.2500 0.6501 0.1570  5 Nd 2.81-2.95
10 P 0.7500 0.3499 0.8430  5 Nd 2.81-2.95
11 N 0.2500 0.0931 0.5979  4 Nd 2.25-2.37
12 N 0.7500 0.9069 0.4021  4 Nd 2.25-2.37

# 10
First-principles (PBE-GGA) data for NdPa2AsN5 after structural relaxation, as listed in Alexandria.

Output
E: -8.755 eV/atom
E_form (uncorrected): -0.97 eV/atom
size of the total moment: 0.000 μB/f.u.

Cell: 5.8851 6.6005 6.6005 Å, 90.00 90.00 90.00°
Last column: nearest neighbours and their distance in Å.
Atoms (fractional coordinates):
1 Nd 0.0000 0.5000 0.5000  10 N 2.92-2.94
2 Nd 0.0000 0.0000 0.0000  10 N 2.92-2.94
3 Pa 0.5000 0.6707 0.1707  2 N 2.18
4 Pa 0.5000 0.1707 0.3293  2 N 2.18
5 Pa 0.5000 0.8293 0.6707  2 N 2.18
6 Pa 0.5000 0.3293 0.8293  2 N 2.18
7 As 0.0000 0.0000 0.5000  4 N 2.08
8 As 0.0000 0.5000 0.0000  4 N 2.08
9 N 0.5000 0.5000 0.5000  4 Pa 2.45
10 N 0.5000 0.0000 0.0000  4 Pa 2.45
11 N 0.2564 0.1535 0.6535  1 As 2.08, 1 Pa 2.18
12 N 0.2564 0.8465 0.3465  1 As 2.08, 1 Pa 2.18
13 N 0.2564 0.3465 0.1535  1 As 2.08, 1 Pa 2.18
14 N 0.2564 0.6535 0.8465  1 As 2.08, 1 Pa 2.18
15 N 0.7436 0.1535 0.6535  1 As 2.08, 1 Pa 2.18
16 N 0.7436 0.6535 0.8465  1 As 2.08, 1 Pa 2.18
17 N 0.7436 0.8465 0.3465  1 As 2.08, 1 Pa 2.18
18 N 0.7436 0.3465 0.1535  1 As 2.08, 1 Pa 2.18

# 11
First-principles (PBE-GGA) data for Pm4Nd2As3N2 after structural relaxation, as listed in Alexandria.

Output
E: -6.611 eV/atom
E_form (uncorrected): -1.23 eV/atom
size of the total moment: 0.000 μB/f.u.

Cell: 4.6794 4.6794 12.7442 Å, 100.58 100.58 90.00°
Last column: nearest neighbours and their distance in Å.
Atoms (fractional coordinates):
1 Pm 0.4201 0.9201 0.8402  2 N 2.41
2 Pm 0.9201 0.4201 0.8402  2 N 2.41
3 Pm 0.0799 0.5799 0.1598  2 N 2.41
4 Pm 0.5799 0.0799 0.1598  2 N 2.41
5 Nd 0.3032 0.3032 0.6064  1 N 2.32
6 Nd 0.6968 0.6968 0.3936  1 N 2.32
7 As 0.0000 0.0000 0.0000  8 Pm 3.06
8 As 0.1761 0.1761 0.3522  5 Nd 3.13-3.35, 4 Pm 3.33
9 As 0.8239 0.8239 0.6478  5 Nd 3.13-3.35, 4 Pm 3.33
10 N 0.3974 0.3974 0.7949  1 Nd 2.32, 4 Pm 2.41
11 N 0.6026 0.6026 0.2051  1 Nd 2.32, 4 Pm 2.41

# 12
First-principles (PBE-GGA) data for Pr4Nd2As3N2 after structural relaxation, as listed in Alexandria.

Output
E: -6.566 eV/atom
E_form (uncorrected): -1.18 eV/atom
size of the total moment: 0.000 μB/f.u.

Cell: 4.7471 4.7471 12.8841 Å, 100.62 100.62 90.00°
Last column: nearest neighbours and their distance in Å.
Atoms (fractional coordinates):
1 Pr 0.4198 0.9198 0.8396  2 N 2.46
2 Pr 0.9198 0.4198 0.8396  2 N 2.46
3 Pr 0.0802 0.5802 0.1604  2 N 2.46
4 Pr 0.5802 0.0802 0.1604  2 N 2.46
5 Nd 0.3027 0.3027 0.6053  1 N 2.29
6 Nd 0.6973 0.6973 0.3947  1 N 2.29
7 As 0.0000 0.0000 0.0000  8 Pr 3.10
8 As 0.1773 0.1773 0.3545  5 Nd 3.12-3.39, 4 Pr 3.39
9 As 0.8227 0.8227 0.6455  5 Nd 3.12-3.39, 4 Pr 3.39
10 N 0.3945 0.3945 0.7891  1 Nd 2.29, 4 Pr 2.46
11 N 0.6055 0.6055 0.2109  1 Nd 2.29, 4 Pr 2.46

Among the records above, which one has the highest E_form (uncorrected)? Nd2NpAsN5